MnBi2SbO8 | PBE with a Hubbard U | optimized geometry

Geometry as POSCAR:
```
MnBi2SbO8
1.0
3.448 -3.495 0.000
3.448 3.495 0.000
0.000 0.000 6.812
Mn Bi Sb O
1 2 1 8
Direct
0.000 0.000 0.000 Mn
0.500 0.500 0.247 Bi
0.500 0.500 0.753 Bi
0.000 0.000 0.500 Sb
0.181 0.819 0.266 O
0.181 0.819 0.734 O
0.290 0.290 0.000 O
0.293 0.293 0.500 O
0.707 0.707 0.500 O
0.710 0.710 0.000 O
0.819 0.181 0.266 O
0.819 0.181 0.734 O
```

DFT total energy: -6.115 eV/atom